# Na2CrF4

An optimized crystal structure of Na2CrF4 (PBE+U, Alexandria via LeMat-Bulk).

a b c (Å): 9.659 3.398 5.726
angles (deg): 87.41 90.00 90.00
Site moments in Bohr magnetons follow the coordinates.
Sites, in units of the cell vectors:
Na  0.819  0.511  0.574  0.00
Na  0.319  0.489  0.926  0.00
Na  0.681  0.511  0.074  0.00
Na  0.181  0.489  0.426  0.00
Cr  0.000  0.000  0.000  3.81
Cr  0.500  0.000  0.500  3.81
F  0.694  0.004  0.366  0.00
F  0.194  0.996  0.134  0.00
F  0.306  0.996  0.634  0.00
F  0.806  0.004  0.866  0.00
F  0.954  0.557  0.240  0.02
F  0.454  0.443  0.260  0.02
F  0.546  0.557  0.740  0.02
F  0.046  0.443  0.760  0.02

Calculated values
The magnetization comes out at 4.0 μB/f.u. The calculation puts the energy above the most stable polymorph in this dataset at 0.0 kJ/mol of atoms. Its density of states at the Fermi level is 0.00 states/eV/cell. The calculation puts the raw total energy at -5.20 eV/atom.